No. 1
NiAgOs2 | GGA-PBE | relaxed

Output
Energy relative to the lowest polymorph listed for this composition: 115 meV/atom
Total energy: -29.44 eV per formula unit
Energy of formation from the pure elements: 0.41 eV per atom
Magnetization: 0.85 μB/cell

abc: 2.7034 2.7034 27.1859
angles: 90.00 90.00 120.00
Space group R-3m (No. 166, hexagonal axes)
Asymmetric unit:
Ni  0.0000  0.0000  0.0000 [3 per cell]
Ag  0.0000  0.0000  0.5000 [3 per cell]
Os  0.0000  0.0000  0.2578 [6 per cell]


No. 2
Nd8ZnOs3Br4 | GGA-PBE | relaxed

Output
Total energy: -90.96 eV per formula unit
Formation energy without anion corrections: -16.1 kcal/mol of atoms
Magnetization: 0.00 μB/cell

abc: 8.3322 8.3322 23.4735
angles: 90.00 90.00 120.00
Space group R-3m (No. 166, hexagonal axes)
Asymmetric unit:
Nd  0.0000  0.0000  0.2336 [6 per cell]
Nd  0.0161  0.5080  0.7676 [18 per cell]
Zn  0.0000  0.0000  0.5000 [3 per cell]
Os  0.0000  0.5000  0.5000 [9 per cell]
Br  0.0000  0.0000  0.0000 [3 per cell]
Br  0.0000  0.5000  0.0000 [9 per cell]


No. 3
ScSn4Rh | GGA-PBE | relaxed

Output
Energy relative to the lowest polymorph listed for this composition: 0 meV/atom
Total energy: -31.97 eV per formula unit
Energy of formation from the pure elements: -0.38 eV per atom
Magnetization: 0.00 μB/cell

abc: 6.521 6.521 12.956
angles: 90.00 90.00 90.00
Space group I4/mcm (No. 140)
Asymmetric unit:
Sc  0.000  0.000  0.250 [4 per cell]
Sn  0.166  0.334  0.113 [16 per cell]
Rh  0.000  0.000  0.000 [4 per cell]


No. 4
Li2Sm5Sn4 | GGA-PBE | relaxed

Output
Total energy: -47.94 eV per formula unit
Energy of formation from the pure elements: -0.41 eV per atom
Magnetization: 3.12 μB/cell

abc: 21.245 4.452 7.531
angles: 90.00 110.55 90.00
Space group C2/m (No. 12)
Asymmetric unit:
Li  0.067  0.000  0.068 [4 per cell]
Sm  0.000  0.000  0.500 [2 per cell]
Sm  0.161  0.500  0.423 [4 per cell]
Sm  0.161  0.500  0.901 [4 per cell]
Sn  0.000  0.500  0.198 [4 per cell]
Sn  0.208  0.000  0.209 [4 per cell]